(1)
Density functional theory data (GGA-PBE) for a relaxed structure of ErZnIrPd.

Summary:
- spin magnetization (Bohr magnetons per cell) = 0.00

a b c (Å): 6.504 6.504 6.504
angles (deg): 90.00 90.00 90.00
Space group F-43m (No. 216)
Unique sites:
Er 0.000 0.000 0.000 x4
Zn 0.000 0.000 0.500 x4
Ir 0.250 0.250 0.750 x4
Pd 0.250 0.250 0.250 x4

(2)
Density functional theory data (GGA-PBE) for a relaxed structure of ErZrIrPd.

Summary:
- spin magnetization (Bohr magnetons per cell) = 0.00

a b c (Å): 6.759 6.759 6.759
angles (deg): 90.00 90.00 90.00
Space group F-43m (No. 216)
Unique sites:
Er 0.000 0.000 0.000 x4
Zr 0.000 0.000 0.500 x4
Ir 0.250 0.250 0.750 x4
Pd 0.250 0.250 0.250 x4

(3)
Density functional theory data (GGA-PBE) for a relaxed structure of PmEr2Ir.

Summary:
- spin magnetization (Bohr magnetons per cell) = 0.00

a b c (Å): 4.6162 4.6162 17.8992
angles (deg): 90.00 90.00 120.00
Space group R-3m (No. 166, hexagonal axes)
Unique sites:
Pm 0.0000 0.0000 0.0000 x3
Er 0.0000 0.0000 0.2179 x6
Ir 0.0000 0.0000 0.5000 x3

(4)
Density functional theory data (GGA-PBE) for a relaxed structure of PmErIr2.

Summary:
- spin magnetization (Bohr magnetons per cell) = 0.00

a b c (Å): 3.370 3.370 7.272
angles (deg): 90.00 90.00 90.00
Space group P4/mmm (No. 123)
Unique sites:
Pm 0.000 0.000 0.000 x1
Er 0.000 0.000 0.500 x1
Ir 0.500 0.500 0.263 x2

(5)
Density functional theory data (GGA-PBE) for a relaxed structure of PmEr3Ir4.

Summary:
- spin magnetization (Bohr magnetons per cell) = 0.00

a b c (Å): 4.928 4.928 6.634
angles (deg): 90.00 90.00 90.00
Space group P4/mmm (No. 123)
Unique sites:
Pm 0.000 0.000 0.000 x1
Er 0.000 0.000 0.500 x1
Er 0.500 0.500 0.000 x1
Er 0.500 0.500 0.500 x1
Ir 0.000 0.500 0.256 x4

(6)
Density functional theory data (GGA-PBE) for a relaxed structure of PmEr2Ir.

Summary:
- spin magnetization (Bohr magnetons per cell) = 0.00

a b c (Å): 4.0114 4.0114 25.8989
angles (deg): 90.00 90.00 120.00
Space group R3m (No. 160, hexagonal axes)
Unique sites:
Pm 0.0000 0.0000 0.0000 x3
Er 0.0000 0.0000 0.5528 x3
Er 0.0000 0.0000 0.7746 x3
Ir 0.0000 0.0000 0.1637 x3

(7)
Density functional theory data (GGA-PBE) for a relaxed structure of PmEr4Ir5.

Summary:
- spin magnetization (Bohr magnetons per cell) = 0.00

a b c (Å): 3.344 3.344 17.870
angles (deg): 90.00 90.00 90.00
Space group P4/mmm (No. 123)
Unique sites:
Pm 0.000 0.000 0.000 x1
Er 0.000 0.000 0.205 x2
Er 0.000 0.000 0.402 x2
Ir 0.500 0.500 0.108 x2
Ir 0.500 0.500 0.304 x2
Ir 0.500 0.500 0.500 x1

(8)
Density functional theory data (GGA-PBE) for a relaxed structure of PmEr2Ir.

Summary:
- spin magnetization (Bohr magnetons per cell) = 0.00

a b c (Å): 3.858 12.241 9.119
angles (deg): 90.00 90.00 90.00
Space group Cmcm (No. 63)
Unique sites:
Pm 0.000 0.071 0.250 x4
Er 0.000 0.357 0.067 x8
Ir 0.000 0.248 0.750 x4

(9)
Density functional theory data (GGA-PBE) for a relaxed structure of Pm2ErIr9.

Summary:
- spin magnetization (Bohr magnetons per cell) = 0.00

a b c (Å): 5.3295 5.3295 26.5987
angles (deg): 90.00 90.00 120.00
Space group R-3m (No. 166, hexagonal axes)
Unique sites:
Pm 0.0000 0.0000 0.1392 x6
Er 0.0000 0.0000 0.0000 x3
Ir 0.0000 0.0000 0.3323 x6
Ir 0.0000 0.0000 0.5000 x3
Ir 0.0024 0.5012 0.0808 x18

(10)
Density functional theory data (GGA-PBE) for a relaxed structure of Pm3ErIr.

Summary:
- spin magnetization (Bohr magnetons per cell) = 0.00

a b c (Å): 5.564 5.564 5.564
angles (deg): 90.00 90.00 90.00
Space group Pm-3m (No. 221)
Unique sites:
Pm 0.000 0.000 0.500 x3
Er 0.500 0.500 0.500 x1
Ir 0.000 0.000 0.000 x1

(11)
Density functional theory data (GGA-PBE) for a relaxed structure of PmEr2Ir.

Summary:
- spin magnetization (Bohr magnetons per cell) = 0.00

a b c (Å): 7.269 9.268 6.423
angles (deg): 90.00 90.00 90.00
Space group Pnma (No. 62)
Unique sites:
Pm 0.033 0.250 0.132 x4
Er 0.175 0.064 0.669 x8
Ir 0.118 0.750 0.438 x4

(12)
Density functional theory data (GGA-PBE) for a relaxed structure of PmErIr.

Summary:
- spin magnetization (Bohr magnetons per cell) = 0.00

a b c (Å): 4.543 4.543 14.666
angles (deg): 90.00 90.00 90.00
Space group I4/mmm (No. 139)
Unique sites:
Pm 0.000 0.000 0.186 x4
Er 0.000 0.500 0.000 x4
Ir 0.000 0.000 0.375 x4

(13)
Density functional theory data (GGA-PBE) for a relaxed structure of Pm2ErIr2.

Summary:
- spin magnetization (Bohr magnetons per cell) = 0.00

a b c (Å): 4.859 4.912 10.412
angles (deg): 90.00 90.00 90.00
Space group Pmmn (No. 59, origin choice 2)
Unique sites:
Pm 0.250 0.250 0.004 x2
Pm 0.250 0.250 0.670 x2
Er 0.250 0.250 0.342 x2
Ir 0.250 0.750 0.494 x2
Ir 0.250 0.750 0.836 x2

(14)
Density functional theory data (GGA-PBE) for a relaxed structure of Pm12ErIr7.

Summary:
- spin magnetization (Bohr magnetons per cell) = 0.00

a b c (Å): 15.2272 15.2272 8.8925
angles (deg): 90.00 90.00 120.00
Space group R-3 (No. 148, hexagonal axes)
Unique sites:
Pm 0.0073 0.4320 0.3295 x18
Pm 0.0425 0.1632 0.2921 x18
Er 0.0000 0.0000 0.0000 x3
Ir 0.0000 0.0000 0.5000 x3
Ir 0.0479 0.1887 0.8990 x18

(15)
Density functional theory data (GGA-PBE) for a relaxed structure of Pm2ErIr2.

Summary:
- spin magnetization (Bohr magnetons per cell) = 0.00

a b c (Å): 7.826 10.714 6.226
angles (deg): 90.00 90.00 90.00
Space group Ibam (No. 72)
Unique sites:
Pm 0.135 0.160 0.000 x8
Er 0.000 0.500 0.250 x4
Ir 0.235 0.095 0.500 x8

(16)
Density functional theory data (GGA-PBE) for a relaxed structure of PmErIr.

Summary:
- spin magnetization (Bohr magnetons per cell) = 0.00

a b c (Å): 4.1432 4.1432 6.1943
angles (deg): 90.00 90.00 120.00
Space group P3m1 (No. 156)
Unique sites:
Pm 0.0000 0.0000 0.0000 x1
Er 0.6667 0.3333 0.5410 x1
Ir 0.3333 0.6667 0.7583 x1

(17)
Density functional theory data (GGA-PBE) for a relaxed structure of PmErIr2.

Summary:
- spin magnetization (Bohr magnetons per cell) = 0.00

a b c (Å): 6.923 6.923 6.923
angles (deg): 90.00 90.00 90.00
Space group Fm-3m (No. 225)
Unique sites:
Pm 0.000 0.000 0.000 x4
Er 0.000 0.000 0.500 x4
Ir 0.250 0.250 0.250 x8

(18)
Density functional theory data (GGA-PBE) for a relaxed structure of PmEr2Ir9.

Summary:
- spin magnetization (Bohr magnetons per cell) = 0.00

a b c (Å): 5.3213 5.3213 26.2365
angles (deg): 90.00 90.00 120.00
Space group R-3m (No. 166, hexagonal axes)
Unique sites:
Pm 0.0000 0.0000 0.0000 x3
Er 0.0000 0.0000 0.1396 x6
Ir 0.0000 0.0000 0.3330 x6
Ir 0.0000 0.0000 0.5000 x3
Ir 0.0000 0.5000 0.0827 x18

(19)
Density functional theory data (GGA-PBE) for a relaxed structure of PmErIr.

Summary:
- spin magnetization (Bohr magnetons per cell) = 0.00

a b c (Å): 3.498 3.498 12.887
angles (deg): 90.00 90.00 90.00
Space group I4mm (No. 107)
Unique sites:
Pm 0.000 0.000 0.000 x2
Er 0.000 0.000 0.746 x2
Ir 0.000 0.000 0.365 x2

(20)
Density functional theory data (GGA-PBE) for a relaxed structure of Pm2Er2Ir3.

Summary:
- spin magnetization (Bohr magnetons per cell) = 0.00

a b c (Å): 4.8097 4.8097 24.3633
angles (deg): 90.00 90.00 120.00
Space group R-3m (No. 166, hexagonal axes)
Unique sites:
Pm 0.0000 0.0000 0.1241 x6
Er 0.0000 0.0000 0.3739 x6
Ir 0.0000 0.0000 0.0000 x3
Ir 0.0000 0.0000 0.2532 x6

| no. | ΔH_f (0 K) (eV/atom) |
| --- | --- |
| 1 | -0.637 |
| 2 | -0.801 |
| 3 | -0.225 |
| 4 | -0.724 |
| 5 | -0.795 |
| 6 | -0.381 |
| 7 | -0.812 |
| 8 | -0.535 |
| 9 | -0.533 |
| 10 | -0.130 |
| 11 | -0.568 |
| 12 | -0.588 |
| 13 | -0.672 |
| 14 | -0.504 |
| 15 | -0.593 |
| 16 | -0.528 |
| 17 | -0.720 |
| 18 | -0.588 |
| 19 | -0.521 |
| 20 | -0.773 |